## SrGa3Tc (PBE)

Data for a relaxed structure of SrGa3Tc.

Output
magnetization = 0.00 μB per cell
distance to the lowest polymorph of the same formula = 0.203 eV per atom
ΔE_f = -76 kJ/mol of formula units

Lattice parameters (Å, degrees): 14.693 3.620 8.300 90.00 96.95 90.00
Space group C2/m (No. 12)
One atom of each set of equivalent atoms:
Sr: 0.144 0.000 0.136
Ga: 0.019 0.000 0.656
Ga: 0.127 0.500 0.804
Ga: 0.223 0.000 0.594
Tc: 0.102 0.500 0.481